# 1
## CrNi2Ru (PBE)

Data for CrNi2Ru after structural relaxation.

Output
- density (g/cm³) = 9.44
- total DFT energy (no corrections) (eV per cell) = -30.04
- M_tot (μB/f.u.) = 1.3

```
data_CrNi2Ru
_cell_length_a 2.540
_cell_length_b 3.732
_cell_length_c 5.022
_cell_angle_alpha 90.00
_cell_angle_beta 90.00
_cell_angle_gamma 90.00
_symmetry_space_group_name_H-M 'P m m m'
_symmetry_Int_Tables_number 47
_symmetry_space_group_name_Hall '-P 2 2'
loop_
_atom_site_label
_atom_site_fract_x
_atom_site_fract_y
_atom_site_fract_z
Cr1 0.000 0.000 0.000
Ni1 0.500 0.500 0.245
Ru1 0.000 0.000 0.500
```


# 2
## KLi2Co (PBE)

Data for KLi2Co after structural relaxation.

Output
- density (g/cm³) = 1.94
- relative energy among the computed polymorphs (eV/f.u.) = 1.02
- total DFT energy (no corrections) (eV per cell) = -35.65
- M_tot (μB/f.u.) = 1.5

```
data_KLi2Co
_cell_length_a 7.262
_cell_length_b 7.262
_cell_length_c 7.262
_cell_angle_alpha 90.00
_cell_angle_beta 90.00
_cell_angle_gamma 90.00
_symmetry_space_group_name_H-M 'F -4 3 m'
_symmetry_Int_Tables_number 216
_symmetry_space_group_name_Hall 'F -4 2 3'
loop_
_atom_site_label
_atom_site_fract_x
_atom_site_fract_y
_atom_site_fract_z
K1 0.000 0.000 0.000
Li1 0.000 0.000 0.500
Li2 0.250 0.250 0.750
Co1 0.250 0.250 0.250
```


# 3
## Be2CdFeOs (PBE)

Data for Be2CdFeOs after structural relaxation.

Output
- density (g/cm³) = 8.51
- total DFT energy (no corrections) (eV per cell) = -23.91
- M_tot (μB/f.u.) = 0.0

```
data_Be2CdFeOs
_cell_length_a 4.086
_cell_length_b 4.086
_cell_length_c 4.403
_cell_angle_alpha 90.00
_cell_angle_beta 90.00
_cell_angle_gamma 90.00
_symmetry_space_group_name_H-M 'P 4/m m m'
_symmetry_Int_Tables_number 123
_symmetry_space_group_name_Hall '-P 4 2'
loop_
_atom_site_label
_atom_site_fract_x
_atom_site_fract_y
_atom_site_fract_z
Be1 0.000 0.500 0.000
Cd1 0.000 0.000 0.500
Fe1 0.500 0.500 0.000
Os1 0.500 0.500 0.500
```


# 4
## Sr2Al2AgPt5 (PBE)

Data for Sr2Al2AgPt5 after structural relaxation.

Output
- density (g/cm³) = 11.43
- total DFT energy (no corrections) (eV per cell) = -101.47
- M_tot (μB/f.u.) = 0.0

```
data_Sr2Al2AgPt5
_cell_length_a 10.345
_cell_length_b 10.345
_cell_length_c 3.564
_cell_angle_alpha 90.00
_cell_angle_beta 90.00
_cell_angle_gamma 90.00
_symmetry_space_group_name_H-M 'P 4/m b m'
_symmetry_Int_Tables_number 127
_symmetry_space_group_name_Hall '-P 4 2ab'
loop_
_atom_site_label
_atom_site_fract_x
_atom_site_fract_y
_atom_site_fract_z
Sr1 0.177 0.323 0.000
Al1 0.124 0.624 0.000
Ag1 0.000 0.000 0.000
Pt1 0.000 0.500 0.500
Pt2 0.063 0.789 0.500
```


# 5
## Sm7Hg2Pd2 (PBE)

Data for Sm7Hg2Pd2 after structural relaxation.

Output
- density (g/cm³) = 8.29
- total DFT energy (no corrections) (eV per cell) = -94.96
- M_tot (μB/f.u.) = 0.0

```
data_Sm7Hg2Pd2
_cell_length_a 8.114
_cell_length_b 11.259
_cell_length_c 7.311
_cell_angle_alpha 90.00
_cell_angle_beta 90.00
_cell_angle_gamma 90.00
_symmetry_space_group_name_H-M 'C m m m'
_symmetry_Int_Tables_number 65
_symmetry_space_group_name_Hall '-C 2 2'
loop_
_atom_site_label
_atom_site_fract_x
_atom_site_fract_y
_atom_site_fract_z
Sm1 0.000 0.000 0.000
Sm2 0.000 0.500 0.252
Sm3 0.250 0.250 0.259
Hg1 0.179 0.000 0.500
Pd1 0.000 0.292 0.000
```


# 6
## Pu2MnAs3Rh4 (PBE)

Data for Pu2MnAs3Rh4 after structural relaxation.

Output
- density (g/cm³) = 10.95
- total DFT energy (no corrections) (eV per cell) = -87.44
- M_tot (μB/f.u.) = 14.4

```
data_Pu2MnAs3Rh4
_cell_length_a 4.091
_cell_length_b 4.091
_cell_length_c 10.685
_cell_angle_alpha 90.00
_cell_angle_beta 90.00
_cell_angle_gamma 90.00
_symmetry_space_group_name_H-M 'P -4 m 2'
_symmetry_Int_Tables_number 115
_symmetry_space_group_name_Hall 'P -4 -2'
loop_
_atom_site_label
_atom_site_fract_x
_atom_site_fract_y
_atom_site_fract_z
Pu1 0.000 0.500 0.248
Mn1 0.500 0.500 0.000
As1 0.000 0.000 0.000
As2 0.000 0.500 0.635
Rh1 0.000 0.000 0.500
Rh2 0.000 0.500 0.862
Rh3 0.500 0.500 0.500
```


# 7
## ScNiOs2 (PBE)

Data for ScNiOs2 after structural relaxation.

Output
- density (g/cm³) = 13.63
- relative energy among the computed polymorphs (eV/f.u.) = 0.39
- total DFT energy (no corrections) (eV per cell) = -138.10
- M_tot (μB/f.u.) = 0.0

```
data_ScNiOs2
_cell_length_a 6.179
_cell_length_b 6.179
_cell_length_c 6.179
_cell_angle_alpha 90.00
_cell_angle_beta 90.00
_cell_angle_gamma 90.00
_symmetry_space_group_name_H-M 'F -4 3 m'
_symmetry_Int_Tables_number 216
_symmetry_space_group_name_Hall 'F -4 2 3'
loop_
_atom_site_label
_atom_site_fract_x
_atom_site_fract_y
_atom_site_fract_z
Sc1 0.000 0.000 0.000
Ni1 0.250 0.250 0.750
Os1 0.000 0.000 0.500
Os2 0.250 0.250 0.250
```


# 8
## Th4SnBi (PBE)

Data for Th4SnBi after structural relaxation.

Output
- density (g/cm³) = 9.89
- total DFT energy (no corrections) (eV per cell) = -154.11
- M_tot (μB/f.u.) = 0.0

```
data_Th4SnBi
_cell_length_a 5.569
_cell_length_b 22.984
_cell_length_c 6.589
_cell_angle_alpha 90.00
_cell_angle_beta 90.00
_cell_angle_gamma 90.00
_symmetry_space_group_name_H-M 'C m c 21'
_symmetry_Int_Tables_number 36
_symmetry_space_group_name_Hall 'C 2c -2'
loop_
_atom_site_label
_atom_site_fract_x
_atom_site_fract_y
_atom_site_fract_z
Th1 0.000 0.075 0.000
Th2 0.000 0.209 0.260
Th3 0.000 0.209 0.742
Th4 0.000 0.364 0.001
Sn1 0.000 0.344 0.501
Bi1 0.000 0.065 0.500
```


Short version: formation energy = 0.1047, 0.7797, 0.8302, -0.6833, -0.3145, -0.6255, 0.0119, -0.1607 eV/atom, in the order given.